Compound: PrDyGe
Source: the Alexandria database
Functional: PBE
Structure: optimized geometry

```
data_PrDyGe
_chemical_formula_sum 'Pr2 Dy2 Ge2'
_cell_length_a 4.323
_cell_length_b 4.323
_cell_length_c 11.611
_cell_angle_alpha 90.00
_cell_angle_beta 90.00
_cell_angle_gamma 120.00
_symmetry_space_group_name_H-M 'P 1'
_symmetry_Int_Tables_number 1
loop_
_symmetry_equiv_pos_as_xyz
'x,y,z'
loop_
_atom_site_label
_atom_site_fract_x
_atom_site_fract_y
_atom_site_fract_z
Pr1 0.000 0.000 0.229
Pr2 0.000 0.000 0.771
Dy1 0.333 0.667 0.000
Dy2 0.667 0.333 0.500
Ge1 0.333 0.667 0.362
Ge2 0.333 0.667 0.638
```

Its symmetry is No. 187. The calculation puts the density at 6.65 g/cm3. The calculation puts the energy at -5.050 eV/atom. The value obtained for the distance to the lowest polymorph of the same formula is 137.4 meV per atom.

***

Compound: AlCdTeN2
Source: the Alexandria database
Functional: PBE
Structure: optimized geometry

```
data_AlCdTeN2
_chemical_formula_sum 'Al1 Cd1 Te1 N2'
_cell_length_a 4.264
_cell_length_b 4.264
_cell_length_c 6.386
_cell_angle_alpha 90.00
_cell_angle_beta 90.00
_cell_angle_gamma 90.00
_symmetry_space_group_name_H-M 'P 1'
_symmetry_Int_Tables_number 1
loop_
_symmetry_equiv_pos_as_xyz
'x,y,z'
loop_
_atom_site_label
_atom_site_fract_x
_atom_site_fract_y
_atom_site_fract_z
Al1 0.000 0.000 0.000
Cd1 0.500 0.500 0.500
Te1 0.500 0.500 0.000
N1 0.000 0.500 0.500
N2 0.500 0.000 0.500
```

The value obtained for the formation energy without anion corrections is 1.60 eV/atom. Its symmetry is No. 123. The calculation puts the density at 4.22 g/cm3. The calculation puts the energy at -3.288 eV/atom. The value obtained for the distance to the lowest polymorph of the same formula is 862.5 meV per atom.

***

Compound: KCaHCl2
Source: the Alexandria database
Functional: PBE
Structure: optimized geometry

```
data_KCaHCl2
_chemical_formula_sum 'K1 Ca1 H1 Cl2'
_cell_length_a 5.474
_cell_length_b 5.474
_cell_length_c 4.344
_cell_angle_alpha 90.00
_cell_angle_beta 90.00
_cell_angle_gamma 90.00
_symmetry_space_group_name_H-M 'P 1'
_symmetry_Int_Tables_number 1
loop_
_symmetry_equiv_pos_as_xyz
'x,y,z'
loop_
_atom_site_label
_atom_site_fract_x
_atom_site_fract_y
_atom_site_fract_z
K1 0.000 0.000 0.000
Ca1 0.500 0.500 0.500
H1 0.500 0.500 0.000
Cl1 0.000 0.500 0.500
Cl2 0.500 0.000 0.500
```

Its symmetry is No. 123. The calculation puts the density at 1.93 g/cm3. The calculation puts the energy at -3.645 eV/atom.

***

Compound: Cs2YReBr6
Source: the Alexandria database
Functional: PBE
Structure: optimized geometry

```
data_Cs2YReBr6
_chemical_formula_sum 'Cs2 Y1 Re1 Br6'
_cell_length_a 7.672
_cell_length_b 7.672
_cell_length_c 7.672
_cell_angle_alpha 60.00
_cell_angle_beta 60.00
_cell_angle_gamma 60.00
_symmetry_space_group_name_H-M 'P 1'
_symmetry_Int_Tables_number 1
loop_
_symmetry_equiv_pos_as_xyz
'x,y,z'
loop_
_atom_site_label
_atom_site_fract_x
_atom_site_fract_y
_atom_site_fract_z
Cs1 0.250 0.250 0.250
Cs2 0.750 0.750 0.750
Y1 0.000 0.000 0.000
Re1 0.500 0.500 0.500
Br1 0.260 0.260 0.740
Br2 0.260 0.740 0.260
Br3 0.260 0.740 0.740
Br4 0.740 0.260 0.260
Br5 0.740 0.260 0.740
Br6 0.740 0.740 0.260
```

The value obtained for the formation energy without anion corrections is -1.01 eV/atom. Its symmetry is No. 225. The calculation puts the density at 5.31 g/cm3. The calculation puts the energy at -4.076 eV/atom.

***

Compound: RbLaOs2I
Source: the Alexandria database
Functional: PBE
Structure: optimized geometry

```
data_RbLaOs2I
_chemical_formula_sum 'Rb1 La1 Os2 I1'
_cell_length_a 4.994
_cell_length_b 4.994
_cell_length_c 5.754
_cell_angle_alpha 90.00
_cell_angle_beta 90.00
_cell_angle_gamma 90.00
_symmetry_space_group_name_H-M 'P 1'
_symmetry_Int_Tables_number 1
loop_
_symmetry_equiv_pos_as_xyz
'x,y,z'
loop_
_atom_site_label
_atom_site_fract_x
_atom_site_fract_y
_atom_site_fract_z
Rb1 0.000 0.000 0.000
La1 0.500 0.500 0.000
Os1 0.000 0.500 0.500
Os2 0.500 0.000 0.500
I1 0.000 0.000 0.500
```

The value obtained for the formation energy without anion corrections is 1.68 eV/atom. Its symmetry is No. 123. The calculation puts the density at 8.47 g/cm3. The calculation puts the energy at -4.299 eV/atom.

***

Compound: LiY2Cr
Source: the Alexandria database
Functional: PBE
Structure: optimized geometry

```
data_LiY2Cr
_chemical_formula_sum 'Li1 Y2 Cr1'
_cell_length_a 6.036
_cell_length_b 6.036
_cell_length_c 6.036
_cell_angle_alpha 137.82
_cell_angle_beta 137.82
_cell_angle_gamma 61.17
_symmetry_space_group_name_H-M 'P 1'
_symmetry_Int_Tables_number 1
loop_
_symmetry_equiv_pos_as_xyz
'x,y,z'
loop_
_atom_site_label
_atom_site_fract_x
_atom_site_fract_y
_atom_site_fract_z
Li1 0.000 0.000 0.000
Y1 0.250 0.750 0.500
Y2 0.500 0.500 0.000
Cr1 0.750 0.250 0.500
```

Its symmetry is No. 119. The calculation puts the density at 4.01 g/cm3. The calculation puts the energy at -5.734 eV/atom.

***

Compound: Li2Zn3Ru
Source: the Alexandria database
Functional: PBE
Structure: optimized geometry

```
data_Li2Zn3Ru
_chemical_formula_sum 'Li4 Zn6 Ru2'
_cell_length_a 7.400
_cell_length_b 7.400
_cell_length_c 4.655
_cell_angle_alpha 90.00
_cell_angle_beta 90.00
_cell_angle_gamma 137.46
_symmetry_space_group_name_H-M 'P 1'
_symmetry_Int_Tables_number 1
loop_
_symmetry_equiv_pos_as_xyz
'x,y,z'
loop_
_atom_site_label
_atom_site_fract_x
_atom_site_fract_y
_atom_site_fract_z
Li1 0.230 0.230 0.000
Li2 0.230 0.230 0.500
Li3 0.770 0.770 0.000
Li4 0.770 0.770 0.500
Zn1 0.063 0.418 0.250
Zn2 0.354 0.646 0.750
Zn3 0.418 0.063 0.750
Zn4 0.582 0.937 0.250
Zn5 0.646 0.354 0.250
Zn6 0.937 0.582 0.750
Ru1 0.161 0.839 0.250
Ru2 0.839 0.161 0.750
```

Its symmetry is No. 63. The calculation puts the density at 6.00 g/cm3. The calculation puts the energy at -2.830 eV/atom.

***

Compound: K2SmPCO7
Source: the Alexandria database
Functional: PBE
Structure: optimized geometry

```
data_K2SmPCO7
_chemical_formula_sum 'K4 Sm2 P2 C2 O14'
_cell_length_a 5.758
_cell_length_b 7.259
_cell_length_c 10.141
_cell_angle_alpha 90.00
_cell_angle_beta 90.91
_cell_angle_gamma 90.00
_symmetry_space_group_name_H-M 'P 1'
_symmetry_Int_Tables_number 1
loop_
_symmetry_equiv_pos_as_xyz
'x,y,z'
loop_
_atom_site_label
_atom_site_fract_x
_atom_site_fract_y
_atom_site_fract_z
K1 0.240 0.015 0.289
K2 0.240 0.485 0.289
K3 0.760 0.515 0.711
K4 0.760 0.985 0.711
Sm1 0.299 0.250 0.884
Sm2 0.701 0.750 0.116
P1 0.210 0.750 0.933
P2 0.790 0.250 0.067
C1 0.246 0.250 0.606
C2 0.754 0.750 0.394
O1 0.061 0.250 0.069
O2 0.072 0.250 0.690
O3 0.211 0.250 0.483
O4 0.300 0.750 0.080
O5 0.302 0.574 0.864
O6 0.302 0.926 0.864
O7 0.453 0.250 0.661
O8 0.547 0.750 0.339
O9 0.698 0.074 0.136
O10 0.698 0.426 0.136
O11 0.700 0.250 0.920
O12 0.789 0.750 0.517
O13 0.928 0.750 0.310
O14 0.939 0.750 0.931
```

The value obtained for the formation energy without anion corrections is -2.37 eV/atom. Its symmetry is No. 11. The calculation puts the density at 3.01 g/cm3. The calculation puts the energy at -7.054 eV/atom.

***

Compound: Dy2MnTe
Source: the Alexandria database
Functional: PBE
Structure: optimized geometry

```
data_Dy2MnTe
_chemical_formula_sum 'Dy2 Mn1 Te1'
_cell_length_a 10.066
_cell_length_b 10.066
_cell_length_c 10.066
_cell_angle_alpha 21.62
_cell_angle_beta 21.62
_cell_angle_gamma 21.62
_symmetry_space_group_name_H-M 'P 1'
_symmetry_Int_Tables_number 1
loop_
_symmetry_equiv_pos_as_xyz
'x,y,z'
loop_
_atom_site_label
_atom_site_fract_x
_atom_site_fract_y
_atom_site_fract_z
Dy1 0.095 0.095 0.095
Dy2 0.905 0.905 0.905
Mn1 0.000 0.000 0.000
Te1 0.500 0.500 0.500
```

The value obtained for the formation energy without anion corrections is 0.15 eV/atom. Its symmetry is No. 166. The calculation puts the density at 6.95 g/cm3. The calculation puts the energy at -5.224 eV/atom.

***

Compound: Cr3Br
Source: the Alexandria database
Functional: PBE
Structure: optimized geometry

```
data_Cr3Br
_chemical_formula_sum 'Cr6 Br2'
_cell_length_a 3.834
_cell_length_b 4.804
_cell_length_c 9.205
_cell_angle_alpha 90.00
_cell_angle_beta 90.00
_cell_angle_gamma 90.00
_symmetry_space_group_name_H-M 'P 1'
_symmetry_Int_Tables_number 1
loop_
_symmetry_equiv_pos_as_xyz
'x,y,z'
loop_
_atom_site_label
_atom_site_fract_x
_atom_site_fract_y
_atom_site_fract_z
Cr1 0.250 0.009 0.079
Cr2 0.250 0.250 0.845
Cr3 0.250 0.491 0.079
Cr4 0.750 0.509 0.921
Cr5 0.750 0.750 0.155
Cr6 0.750 0.991 0.921
Br1 0.250 0.750 0.338
Br2 0.750 0.250 0.662
```

The value obtained for the formation energy without anion corrections is 0.51 eV/atom. Its symmetry is No. 59. The calculation puts the density at 4.62 g/cm3. The calculation puts the energy at -7.126 eV/atom. The value obtained for the distance to the lowest polymorph of the same formula is 84.2 meV per atom.